1.
! HgPIrCl2 (PBE-GGA, relaxed); values from VASP
&SYSTEM
  ibrav = 0, nat = 5, ntyp = 4
/
ATOMIC_SPECIES
Hg 200.59 Hg.upf
P 30.97 P.upf
Ir 192.22 Ir.upf
Cl 35.45 Cl.upf
CELL_PARAMETERS angstrom
4.946 0.000 0.000
0.000 4.946 0.000
0.000 0.000 5.402
ATOMIC_POSITIONS crystal
Hg 0.000 0.000 0.000
P 0.000 0.000 0.500
Ir 0.500 0.500 0.500
Cl 0.000 0.500 0.000
Cl 0.500 0.000 0.000
! Calculated density, g/cm³: 6.215
! E_tot, eV/atom: -2.200



2.
! La2YOs (PBE-GGA, relaxed); values from VASP
&SYSTEM
  ibrav = 0, nat = 4, ntyp = 3
/
ATOMIC_SPECIES
La 138.91 La.upf
Y 88.91 Y.upf
Os 190.23 Os.upf
CELL_PARAMETERS angstrom
2.017 1.164 9.448
-2.017 1.164 9.448
0.000 -2.329 9.448
ATOMIC_POSITIONS crystal
La 0.223 0.223 0.223
La 0.777 0.777 0.777
Y 0.000 0.000 0.000
Os 0.500 0.500 0.500
! Calculated density, g/cm³: 6.947
! E_tot, eV/atom: -6.747



3.
! LiBrCl (PBE-GGA, relaxed); values from VASP
&SYSTEM
  ibrav = 0, nat = 3, ntyp = 3
/
ATOMIC_SPECIES
Li 6.94 Li.upf
Br 79.90 Br.upf
Cl 35.45 Cl.upf
CELL_PARAMETERS angstrom
0.000 3.264 3.264
3.264 0.000 3.264
3.264 3.264 0.000
ATOMIC_POSITIONS crystal
Li 0.000 0.000 0.000
Br 0.750 0.750 0.750
Cl 0.250 0.250 0.250
! Calculated density, g/cm³: 2.920
! E_tot, eV/atom: -2.575



| no. | offset from the most stable computed form (meV/atom) | volume (Å³/cell) | total moment (Bohr magnetons per cell) |
| --- | --- | --- | --- |
| 1 | 1288 | 132.2 | 1.78 |
| 2 | 300 | 133.1 | 0.71 |
| 3 | 248 | 69.5 | 0.01 |